# MoWSe4 (PBE-GGA, relaxed)
# crystal system	trigonal
# relative energy among the computed polymorphs	1.0	meV per atom
# uncorrected formation energy	-0.623	eV per atom
data_MoWSe4
_chemical_formula_sum 'Mo2 W2 Se8'
_cell_length_a 3.3239
_cell_length_b 3.3239
_cell_length_c 28.3268
_cell_angle_alpha 90.00
_cell_angle_beta 90.00
_cell_angle_gamma 120.00
_space_group_name_H-M_alt 'P 3 m 1'
_space_group_IT_number 156
loop_
_space_group_symop_operation_xyz
'x,y,z'
'-y,x-y,z'
'-x+y,-x,z'
'-y,-x,z'
'-x+y,y,z'
'x,x-y,z'
loop_
_atom_site_label
_atom_site_fract_x
_atom_site_fract_y
_atom_site_fract_z
Mo1 0.0000 0.0000 0.0000
Mo2 0.3333 0.6667 0.2483
W1 0.0000 0.0000 0.4973
W2 0.3333 0.6667 0.7504
Se1 0.0000 0.0000 0.1893
Se2 0.0000 0.0000 0.3073
Se3 0.0000 0.0000 0.6910
Se4 0.0000 0.0000 0.8098
Se5 0.3333 0.6667 0.0590
Se6 0.3333 0.6667 0.4379
Se7 0.3333 0.6667 0.5566
Se8 0.3333 0.6667 0.9410

# Ti2InHg (PBE-GGA, relaxed)
# crystal system	tetragonal
data_Ti2InHg
_chemical_formula_sum 'Ti8 In4 Hg4'
_cell_length_a 7.5947
_cell_length_b 7.5947
_cell_length_c 5.7833
_cell_angle_alpha 90.00
_cell_angle_beta 90.00
_cell_angle_gamma 90.00
_space_group_name_H-M_alt 'I -4 2 d'
_space_group_IT_number 122
_space_group_name_Hall 'I -4 2bw'
loop_
_atom_site_label
_atom_site_fract_x
_atom_site_fract_y
_atom_site_fract_z
Ti1 0.2415 0.7500 0.1250
In1 0.0000 0.0000 0.5000
Hg1 0.0000 0.0000 0.0000

# LiTiTe2 (PBE-GGA, relaxed)
# crystal system	trigonal
# uncorrected formation energy	-0.636	eV per atom
data_LiTiTe2
_chemical_formula_sum 'Li3 Ti3 Te6'
_cell_length_a 3.9802
_cell_length_b 3.9802
_cell_length_c 25.4857
_cell_angle_alpha 90.00
_cell_angle_beta 90.00
_cell_angle_gamma 120.00
_space_group_name_H-M_alt 'R -3 m'
_space_group_IT_number 166
_space_group_name_Hall '-R 3 2"'
loop_
_atom_site_label
_atom_site_fract_x
_atom_site_fract_y
_atom_site_fract_z
Li1 0.0000 0.0000 0.0000
Ti1 0.0000 0.0000 0.5000
Te1 0.0000 0.0000 0.1024

# K4SrLi (PBE-GGA, relaxed)
# crystal system	cubic
data_K4SrLi
_chemical_formula_sum 'K16 Sr4 Li4'
_cell_length_a 11.4275
_cell_length_b 11.4275
_cell_length_c 11.4275
_cell_angle_alpha 90.00
_cell_angle_beta 90.00
_cell_angle_gamma 90.00
_space_group_name_H-M_alt 'F -4 3 m'
_space_group_IT_number 216
_space_group_name_Hall 'F -4 2 3'
loop_
_atom_site_label
_atom_site_fract_x
_atom_site_fract_y
_atom_site_fract_z
K1 0.1247 0.1247 0.1247
Sr1 0.0000 0.0000 0.5000
Li1 0.2500 0.2500 0.7500

# KBi2Te2 (PBE-GGA, relaxed)
# crystal system	tetragonal
# relative energy among the computed polymorphs	66.3	meV per atom
# uncorrected formation energy	-0.238	eV per atom
data_KBi2Te2
_chemical_formula_sum 'K2 Bi4 Te4'
_cell_length_a 4.7092
_cell_length_b 4.7092
_cell_length_c 16.3553
_cell_angle_alpha 90.00
_cell_angle_beta 90.00
_cell_angle_gamma 90.00
_space_group_name_H-M_alt 'I 4/m m m'
_space_group_IT_number 139
_space_group_name_Hall '-I 4 2'
loop_
_atom_site_label
_atom_site_fract_x
_atom_site_fract_y
_atom_site_fract_z
K1 0.0000 0.0000 0.0000
Bi1 0.0000 0.5000 0.2500
Te1 0.0000 0.0000 0.4082

# InGeMo (PBE-GGA, relaxed)
# crystal system	monoclinic
data_InGeMo
_chemical_formula_sum 'In4 Ge4 Mo4'
_cell_length_a 11.0400
_cell_length_b 3.1881
_cell_length_c 6.9831
_cell_angle_alpha 90.00
_cell_angle_beta 108.73
_cell_angle_gamma 90.00
_space_group_name_H-M_alt 'C 1 2/m 1'
_space_group_IT_number 12
loop_
_space_group_symop_operation_xyz
'x,y,z'
'-x,-y,-z'
'-x,y,-z'
'x,-y,z'
'x+1/2,y+1/2,z'
'-x+1/2,-y+1/2,-z'
'-x+1/2,y+1/2,-z'
'x+1/2,-y+1/2,z'
loop_
_atom_site_label
_atom_site_fract_x
_atom_site_fract_y
_atom_site_fract_z
In1 0.0909 0.0000 0.3113
Ge1 0.1735 0.0000 0.7185
Mo1 0.1172 0.5000 0.9804

# Ta2AlPb (PBE-GGA, relaxed)
# crystal system	orthorhombic
data_Ta2AlPb
_chemical_formula_sum 'Ta4 Al2 Pb2'
_cell_length_a 5.9005
_cell_length_b 8.7610
_cell_length_c 2.9743
_cell_angle_alpha 90.00
_cell_angle_beta 90.00
_cell_angle_gamma 90.00
_space_group_name_H-M_alt 'C m m m'
_space_group_IT_number 65
_space_group_name_Hall '-C 2 2'
loop_
_atom_site_label
_atom_site_fract_x
_atom_site_fract_y
_atom_site_fract_z
Ta1 0.2500 0.2500 0.0000
Al1 0.0000 0.0000 0.5000
Pb1 0.0000 0.5000 0.5000

# LiTc2Hg (PBE-GGA, relaxed)
# crystal system	tetragonal
data_LiTc2Hg
_chemical_formula_sum 'Li4 Tc8 Hg4'
_cell_length_a 3.6476
_cell_length_b 3.6476
_cell_length_c 20.1160
_cell_angle_alpha 90.00
_cell_angle_beta 90.00
_cell_angle_gamma 90.00
_space_group_name_H-M_alt 'I -4 2 d'
_space_group_IT_number 122
_space_group_name_Hall 'I -4 2bw'
loop_
_atom_site_label
_atom_site_fract_x
_atom_site_fract_y
_atom_site_fract_z
Li1 0.0000 0.0000 0.0000
Tc1 0.2109 0.2500 0.1250
Hg1 0.0000 0.0000 0.5000

no.,VASP energy (eV/cell)
1,-82.9
2,-70.6
3,-55.9
4,-26.5
5,-32.7
6,-71.1
7,-59.2
8,-83.8